Record 1
Compound: AcLaInGe
Source: Alexandria via LeMat-Bulk
Functional: GGA-PBE
Structure: optimized geometry

```
4
Lattice="5.566 0.000 0.000 2.783 4.820 0.000 2.783 1.607 4.544" Properties=species:S:1:pos:R:3 pbc="T T T"
Ac 5.566 3.213 2.272
In 8.349 4.820 3.408
Ge 2.783 1.607 1.136
La 0.000 0.000 0.000
```

Computed properties:
Excess energy over the best structure of this formula in the dataset, meV per atom: 131.3
Energy of formation, eV per atom: -0.48
N(E_F), states/eV per cell: 2.24



Record 2
Compound: K2SrTl6
Source: Alexandria via LeMat-Bulk
Functional: GGA-PBE
Structure: optimized geometry

```
9
Lattice="-1.970 -0.878 3.212 2.418 -9.114 -1.008 7.959 -3.264 3.992" Properties=species:S:1:pos:R:3 pbc="T T T"
K 3.459 -4.126 0.995
K 4.947 -9.131 5.201
Sr 0.000 0.000 0.000
Tl 0.635 -6.540 0.928
Tl 4.061 -10.633 1.921
Tl 7.771 -6.717 5.267
Tl 3.264 -7.619 2.251
Tl 4.344 -2.623 4.275
Tl 5.142 -5.637 3.945
```

Computed properties:
Energy of formation, eV per atom: -0.15
N(E_F), states/eV per cell: 3.89



Record 3
Compound: Sm3Er4Hg
Source: Alexandria via LeMat-Bulk
Functional: GGA-PBE
Structure: optimized geometry

```
8
Lattice="3.575 0.000 0.000 0.000 3.575 0.000 0.000 0.000 19.041" Properties=species:S:1:pos:R:3 pbc="T T T"
Hg 1.787 1.787 0.000
Sm 1.787 1.787 4.490
Sm 1.787 1.787 9.520
Sm 1.787 1.787 14.550
Er 0.000 0.000 17.066
Er 0.000 0.000 1.975
Er 0.000 0.000 7.000
Er 0.000 0.000 12.040
```

Computed properties:
Energy of formation, eV per atom: -0.11
N(E_F), states/eV per cell: 9.47



Record 4
Compound: La6In2TcN
Source: Alexandria via LeMat-Bulk
Functional: GGA-PBE
Structure: optimized geometry

```
10
Lattice="-3.302 6.106 -2.854 -5.679 -4.235 -2.420 1.939 -0.096 7.281" Properties=species:S:1:pos:R:3 pbc="T T T"
La -4.764 1.008 2.911
La -6.011 1.441 -0.417
La -2.259 0.789 -1.085
La -2.300 3.628 4.281
La -0.859 0.366 2.392
La -2.999 -1.830 4.834
In -2.969 3.470 0.879
In -4.088 -1.708 1.102
Tc -4.498 0.722 -2.282
N -5.677 -4.203 -2.387
```

Computed properties:
Energy relative to the elements, uncorrected, meV per atom: -445.3
N(E_F), states/eV per cell: 4.72



Record 5
Compound: TbPr2Ga3
Source: Alexandria via LeMat-Bulk
Functional: GGA-PBE
Structure: optimized geometry

```
12
Lattice="-0.122 -1.835 -4.862 0.726 -3.254 3.989 -12.649 -1.662 0.945" Properties=species:S:1:pos:R:3 pbc="T T T"
Tb -7.984 -3.888 1.668
Tb -4.061 -2.863 -1.596
Pr -6.324 -0.831 0.473
Pr -1.718 -3.065 1.200
Pr -10.328 -3.686 -1.128
Pr 0.000 0.000 0.000
Ga -4.850 -3.476 1.434
Ga -0.922 -2.450 -1.831
Ga -9.440 -1.240 0.706
Ga -3.208 -0.422 0.240
Ga -11.124 -4.301 1.903
Ga -7.196 -3.275 -1.362
```

Computed properties:
Excess energy over the best structure of this formula in the dataset, meV per atom: 0.0
Energy of formation, eV per atom: -0.55
N(E_F), states/eV per cell: 5.28



Record 6
Compound: Nd3Ga4Pd
Source: Alexandria via LeMat-Bulk
Functional: GGA-PBE
Structure: optimized geometry

```
8
Lattice="-2.579 -3.838 -0.797 5.455 -3.216 -2.163 -0.257 1.483 7.498" Properties=species:S:1:pos:R:3 pbc="T T T"
Nd 0.418 -0.723 2.128
Nd 2.202 -4.848 2.410
Nd 2.727 -1.608 -1.081
Ga 2.005 -2.214 4.173
Ga 0.614 -3.357 0.365
Ga 2.815 -4.654 -0.507
Ga -0.196 -0.917 5.046
Pd -1.289 -1.919 -0.399
```

Computed properties:
Energy of formation, eV per atom: -0.51
N(E_F), states/eV per cell: 7.66



Record 7
Compound: SmPuP2
Source: Alexandria via LeMat-Bulk
Functional: GGA-PBE
Structure: optimized geometry

```
4
Lattice="4.019 0.000 0.000 2.010 3.481 0.000 2.010 1.160 6.823" Properties=species:S:1:pos:R:3 pbc="T T T"
Sm 4.019 2.320 3.470
Pu 6.029 3.481 6.770
P 2.010 1.160 5.213
P 2.010 1.160 1.605
```

Computed properties:
Excess energy over the best structure of this formula in the dataset, meV per atom: 159.1
Energy of formation, eV per atom: -1.20
N(E_F), states/eV per cell: 9.24



Record 8
Compound: Pu2Hf3UN6
Source: Alexandria via LeMat-Bulk
Functional: GGA-PBE
Structure: optimized geometry

```
12
Lattice="5.691 -0.001 0.002 -2.845 4.929 0.002 -0.948 -1.641 5.588" Properties=species:S:1:pos:R:3 pbc="T T T"
Pu 0.001 3.286 0.002
Pu 2.846 1.643 0.002
Hf -1.880 3.278 2.796
Hf 3.778 0.010 2.796
Hf 0.949 1.644 2.796
U 0.000 0.000 0.000
N 2.826 1.679 4.042
N 1.921 3.326 1.549
N -0.928 1.608 1.550
N 0.042 3.287 4.042
N -0.022 -0.038 4.042
N 1.857 0.000 1.550
```

Computed properties:
Energy relative to the elements, uncorrected, meV per atom: -1582.7
N(E_F), states/eV per cell: 15.12



Record 9
Compound: Ta2TlTc
Source: Alexandria via LeMat-Bulk
Functional: GGA-PBE
Structure: optimized geometry

```
4
Lattice="9.040 -0.024 -0.014 8.497 3.086 -0.014 8.497 1.484 2.706" Properties=species:S:1:pos:R:3 pbc="T T T"
Ta 25.749 4.496 2.648
Ta 13.304 2.323 1.368
Tc 6.509 1.136 0.669
Tl 19.526 3.409 2.008
```

Computed properties:
Excess energy over the best structure of this formula in the dataset, meV per atom: 145.7
Energy of formation, eV per atom: 0.32
N(E_F), states/eV per cell: 3.12



Record 10
Compound: Sr2HIrO6
Source: Alexandria via LeMat-Bulk
Functional: GGA-PBE
Structure: optimized geometry

```
10
Lattice="-1.955 -2.340 -3.261 4.091 -3.203 -0.155 -3.896 -0.959 4.147" Properties=species:S:1:pos:R:3 pbc="T T T"
Sr -1.179 -1.548 0.868
Sr -0.582 -4.954 -0.138
H -0.978 -1.170 -1.631
Ir 2.046 -1.601 -0.078
O 0.918 -3.074 0.577
O -3.186 -1.979 2.810
O -0.734 -2.832 -1.998
O -1.027 -3.670 2.728
O 1.426 -4.522 -2.080
O -2.678 -3.428 0.153
```

Computed properties:
N(E_F), states/eV per cell: 4.63
Calculated total energy, eV/atom: -5.82



Record 11
Compound: RbAl3Si3
Source: Alexandria via LeMat-Bulk
Functional: GGA-PBE
Structure: optimized geometry

```
14
Lattice="-1.750 5.044 4.659 -6.104 1.059 -3.440 -3.145 -4.863 4.083" Properties=species:S:1:pos:R:3 pbc="T T T"
Si -3.098 -2.167 1.182
Si -6.150 -1.637 -0.538
Si -3.234 -1.125 5.392
Si -4.365 4.312 1.774
Si -1.661 1.306 3.350
Si -3.489 1.790 -0.555
Al -2.010 -1.170 3.206
Al -3.838 -0.686 -0.699
Al -5.453 3.316 -0.251
Al -2.885 1.351 5.536
Al -5.410 -3.118 1.342
Al -2.401 2.787 1.469
Rb -5.499 0.620 2.651
Rb 0.000 0.000 0.000
```

Computed properties:
Energy relative to the elements, uncorrected, meV per atom: 129.7
N(E_F), states/eV per cell: 11.05



Record 12
Compound: AgHg2GeS4
Source: Alexandria via LeMat-Bulk
Functional: GGA-PBE
Structure: optimized geometry

```
16
Lattice="-0.706 -6.022 -2.768 4.237 2.143 -5.745 6.708 -2.612 3.973" Properties=species:S:1:pos:R:3 pbc="T T T"
Ag 3.303 -6.963 -1.646
Ag 3.238 -1.161 -6.230
Hg 2.779 -2.931 -2.270
Hg 6.058 -4.208 -0.329
Hg 7.190 -6.536 -3.579
Hg 3.760 -5.200 -5.610
Ge 6.517 -2.513 -4.148
Ge 0.022 -5.629 -3.737
S 0.461 -1.721 -1.909
S 6.290 -4.607 -5.142
S 3.653 -3.336 0.148
S 3.042 -3.474 -7.420
S 7.508 -2.856 -2.051
S 2.322 -5.309 -3.416
S 5.880 -6.695 -1.308
S 4.358 -1.629 -3.916
```

Computed properties:
Energy relative to the elements, uncorrected, meV per atom: -110.8
N(E_F), states/eV per cell: 6.16



Record 13
Compound: K2CeBiTe4
Source: Alexandria via LeMat-Bulk
Functional: GGA-PBE
Structure: optimized geometry

```
8
Lattice="4.641 0.000 0.000 0.000 8.040 0.135 0.000 -2.822 8.191" Properties=species:S:1:pos:R:3 pbc="T T T"
K 2.321 -1.411 4.096
K 0.000 2.609 4.163
Ce 2.321 4.020 0.068
Bi 0.000 0.000 0.000
Te 2.321 1.295 1.768
Te 2.321 3.924 6.558
Te 0.000 -0.123 6.480
Te 0.000 5.341 1.846
```

Computed properties:
Energy relative to the elements, uncorrected, meV per atom: -975.4
N(E_F), states/eV per cell: 7.92



Record 14
Compound: BaPuAg10
Source: Alexandria via LeMat-Bulk
Functional: GGA-PBE
Structure: optimized geometry

```
12
Lattice="-0.088 -2.748 -3.788 -1.668 -4.424 3.248 -9.585 2.464 -1.565" Properties=species:S:1:pos:R:3 pbc="T T T"
Ba -5.626 -0.980 0.842
Pu 0.000 0.000 0.000
Ag -3.083 0.792 -0.503
Ag -8.907 -0.136 0.306
Ag -2.346 -1.823 1.377
Ag -6.503 1.672 -1.062
Ag -4.837 -0.142 -2.676
Ag -0.878 -3.586 -0.270
Ag -2.775 -1.866 -1.473
Ag -8.566 -2.842 -0.631
Ag -3.622 -4.113 0.177
Ag -7.719 -0.595 -2.281
```

Computed properties:
Energy of formation, eV per atom: -0.04
N(E_F), states/eV per cell: 22.66



Record 15
Compound: CoTc2Pt
Source: Alexandria via LeMat-Bulk
Functional: GGA-PBE
Structure: optimized geometry

```
4
Lattice="4.635 -0.007 -0.004 1.453 4.401 0.004 -3.042 -2.199 2.718" Properties=species:S:1:pos:R:3 pbc="T T T"
Co 3.044 2.197 0.000
Pt 0.727 2.199 1.361
Tc 6.088 4.394 0.000
Tc 2.319 -0.004 1.357
```

Computed properties:
Excess energy over the best structure of this formula in the dataset, meV per atom: 19.1
Energy of formation, eV per atom: -0.03
N(E_F), states/eV per cell: 4.83



Record 16
Compound: ZrScP2
Source: Alexandria via LeMat-Bulk
Functional: GGA-PBE
Structure: optimized geometry

```
4
Lattice="-4.859 2.974 3.158 -3.703 0.181 5.356 -1.797 3.395 5.261" Properties=species:S:1:pos:R:3 pbc="T T T"
Sc -7.769 4.913 10.332
P -0.008 0.005 0.010
P -5.172 3.270 6.877
Zr -2.590 1.638 3.444
```

Computed properties:
Excess energy over the best structure of this formula in the dataset, meV per atom: 0.0
Energy of formation, eV per atom: -1.44
N(E_F), states/eV per cell: 2.34



Record 17
Compound: Li2CaMn
Source: Alexandria via LeMat-Bulk
Functional: GGA-PBE
Structure: optimized geometry

```
8
Lattice="-3.536 2.228 -0.659 -1.039 -2.589 -3.180 -7.550 -6.501 4.946" Properties=species:S:1:pos:R:3 pbc="T T T"
Ca -2.288 -0.180 -1.919
Ca -5.438 -4.635 -0.077
Mn 0.000 0.000 0.000
Mn -6.686 -2.226 1.184
Li -2.299 -1.771 0.786
Li -4.907 -1.750 -1.193
Li -7.945 -6.423 0.535
Li -9.099 -3.779 2.084
```

Computed properties:
Excess energy over the best structure of this formula in the dataset, meV per atom: 160.5
Energy of formation, eV per atom: 0.46
N(E_F), states/eV per cell: 5.70



Record 18
Compound: YBiSbI2
Source: Alexandria via LeMat-Bulk
Functional: GGA-PBE
Structure: optimized geometry

```
5
Lattice="5.797 0.000 0.000 0.000 5.797 0.000 0.000 0.000 6.365" Properties=species:S:1:pos:R:3 pbc="T T T"
I 0.000 2.899 0.000
I 2.899 0.000 0.000
Sb 0.000 0.000 3.183
Y 0.000 0.000 0.000
Bi 2.899 2.899 3.183
```

Computed properties:
Excess energy over the best structure of this formula in the dataset, meV per atom: 0.0
Energy relative to the elements, uncorrected, meV per atom: -184.0
N(E_F), states/eV per cell: 2.24



Record 19
Compound: HgMo2AuN
Source: Alexandria via LeMat-Bulk
Functional: GGA-PBE
Structure: optimized geometry

```
5
Lattice="5.367 0.000 0.000 0.000 5.143 0.000 0.000 0.000 5.367" Properties=species:S:1:pos:R:3 pbc="T T T"
Mo 0.000 0.000 2.684
Mo 2.684 0.000 0.000
Au 0.000 2.571 0.000
Hg 0.000 0.000 0.000
N 2.684 2.571 2.684
```

Computed properties:
Energy relative to the elements, uncorrected, meV per atom: 2899.4
N(E_F), states/eV per cell: 3.32



Record 20
Compound: Ce4SnBi3
Source: Alexandria via LeMat-Bulk
Functional: GGA-PBE
Structure: optimized geometry

```
8
Lattice="-5.268 3.700 0.632 -3.098 -3.669 -4.334 -2.120 -3.832 4.760" Properties=species:S:1:pos:R:3 pbc="T T T"
Sn 0.000 0.000 0.000
Ce -2.634 1.850 0.316
Ce -1.549 -1.835 -2.167
Ce -1.060 -1.916 2.380
Ce -5.243 -1.900 0.529
Bi -2.609 -3.751 0.213
Bi -3.694 -0.066 2.696
Bi -4.183 0.016 -1.851
```

Computed properties:
Excess energy over the best structure of this formula in the dataset, meV per atom: 0.0
Energy of formation, eV per atom: -0.71
N(E_F), states/eV per cell: 21.87



Magnetization across the listed records, respectively: 0.00 0.00 0.00 0.00 0.00 0.00 4.97 10.83 0.00 0.00 0.00 0.00 0.99 6.35 1.12 0.00 7.62 1.02 5.95 2.90 Bohr magnetons per cell.